VASP calculation (PBE+U) on a relaxed MgCoSe2O crystal.

Lattice parameters (Å, degrees): 4.9516 3.6737 4.9516 90.00 90.00 90.00
Each line ends with the local moment (μB).
Fractional coordinates of all 5 atoms:
Co1 0.0000 0.5000 0.0000  2.42
Se1 0.5000 0.0000 0.0000  0.14
Se2 0.0000 0.0000 0.5000  0.10
O1 0.0000 0.0000 0.0000  0.14
Mg1 0.5000 0.5000 0.5000  0.00

Total energy, eV/atom: -3.83
Space-group type: No. 123
Magnetization, μB/f.u.: 2.88